Crystalline UO3 at its relaxed geometry. Source: Alexandria via LeMat-Bulk, functional PBE.

```
data_UO3
_symmetry_space_group_name_H-M 'P 1 m 1'
_symmetry_Int_Tables_number 6
_cell_length_a 4.211
_cell_length_b 4.206
_cell_length_c 19.768
_cell_angle_alpha 90.00
_cell_angle_beta 95.67
_cell_angle_gamma 90.00
loop_
_symmetry_equiv_pos_as_xyz
'x,y,z'
'x,-y,z'
loop_
_atom_site_label
_atom_site_fract_x
_atom_site_fract_y
_atom_site_fract_z
U1 0.000 0.000 0.000
U2 0.090 0.000 0.219
U3 0.188 0.000 0.431
U4 0.285 0.000 0.643
U5 0.387 0.000 0.855
O1 0.032 0.000 0.098
O2 0.088 0.500 0.216
O3 0.139 0.000 0.326
O4 0.188 0.500 0.431
O5 0.236 0.000 0.537
O6 0.285 0.500 0.643
O7 0.336 0.000 0.751
O8 0.391 0.500 0.846
O9 0.397 0.252 0.977
O10 0.570 0.000 0.176
O11 0.605 0.000 0.251
O12 0.688 0.000 0.431
O13 0.785 0.000 0.644
O14 0.904 0.000 0.889
```

Results
**V**: 17.422 Å³ per atom
**Polymorph energy (0 for the lowest one)**: 379 meV per atom
**Raw formation energy**: -2708.4 meV/atom


Crystalline UO at its relaxed geometry. Source: Alexandria via LeMat-Bulk, functional PBE.

```
data_UO
_symmetry_space_group_name_H-M 'F m -3 m'
_symmetry_Int_Tables_number 225
_symmetry_space_group_name_Hall '-F 4 2 3'
_cell_length_a 4.860
_cell_length_b 4.860
_cell_length_c 4.860
_cell_angle_alpha 90.00
_cell_angle_beta 90.00
_cell_angle_gamma 90.00
loop_
_atom_site_label
_atom_site_fract_x
_atom_site_fract_y
_atom_site_fract_z
U1 0.000 0.000 0.000
O1 0.000 0.000 0.500
```

Results
**V**: 14.349 Å³ per atom
**Raw formation energy**: -2251.2 meV/atom


Crystalline UO3 at its relaxed geometry. Source: Alexandria via LeMat-Bulk, functional PBE.

```
data_UO3
_symmetry_space_group_name_H-M 'P m -3 m'
_symmetry_Int_Tables_number 221
_symmetry_space_group_name_Hall '-P 4 2 3'
_cell_length_a 4.164
_cell_length_b 4.164
_cell_length_c 4.164
_cell_angle_alpha 90.00
_cell_angle_beta 90.00
_cell_angle_gamma 90.00
loop_
_atom_site_label
_atom_site_fract_x
_atom_site_fract_y
_atom_site_fract_z
U1 0.000 0.000 0.000
O1 0.000 0.000 0.500
```

Results
**V**: 18.050 Å³ per atom
**Polymorph energy (0 for the lowest one)**: 0 meV per atom
**Raw formation energy**: -3087.4 meV/atom


Crystalline UO3 at its relaxed geometry. Source: Alexandria via LeMat-Bulk, functional PBE.

```
data_UO3
_symmetry_space_group_name_H-M 'P 21 21 21'
_symmetry_Int_Tables_number 19
_cell_length_a 5.247
_cell_length_b 5.547
_cell_length_c 7.578
_cell_angle_alpha 90.00
_cell_angle_beta 90.00
_cell_angle_gamma 90.00
loop_
_symmetry_equiv_pos_as_xyz
'x,y,z'
'-x+1/2,-y,z+1/2'
'x+1/2,-y+1/2,-z'
'-x,y+1/2,-z+1/2'
loop_
_atom_site_label
_atom_site_fract_x
_atom_site_fract_y
_atom_site_fract_z
U1 0.216 0.125 0.184
O1 0.031 0.862 0.096
O2 0.066 0.615 0.746
O3 0.081 0.870 0.429
```

Results
**V**: 13.785 Å³ per atom
**Polymorph energy (0 for the lowest one)**: 86 meV per atom
**Raw formation energy**: -3001.1 meV/atom


Crystalline U3O11 at its relaxed geometry. Source: Alexandria via LeMat-Bulk, functional PBE.

```
data_U3O11
_symmetry_space_group_name_H-M 'I m m m'
_symmetry_Int_Tables_number 71
_symmetry_space_group_name_Hall '-I 2 2'
_cell_length_a 7.447
_cell_length_b 11.316
_cell_length_c 13.348
_cell_angle_alpha 90.00
_cell_angle_beta 90.00
_cell_angle_gamma 90.00
loop_
_atom_site_label
_atom_site_fract_x
_atom_site_fract_y
_atom_site_fract_z
U1 0.000 0.000 0.226
U2 0.000 0.320 0.264
O1 0.000 0.000 0.048
O2 0.000 0.000 0.454
O3 0.000 0.269 0.393
O4 0.000 0.348 0.131
O5 0.000 0.500 0.304
O6 0.174 0.131 0.233
```

Results
**V**: 20.086 Å³ per atom
**Raw formation energy**: -2442.6 meV/atom


Results for DOS at the Fermi energy: 13.4, 15.6, 0.0, 0.0, 25.3 (in states/eV/cell, following the order of the records).
Results for total moment: 0.49, 1.90, 0.00, 0.00, 1.93 (in μB/f.u., following the order of the records).